<i>
Material: ReCBr2
Method: DFT, PBE-GGA
State: optimized geometry

abc: 3.1300 3.1300 24.4667
angles: 90.00 90.00 120.00
Space group R-3m (No. 166, hexagonal axes)
Symmetry-distinct sites (fractional):
1 Re 0.0000 0.0000 0.0000 [3 per cell]
2 C 0.0000 0.0000 0.5000 [3 per cell]
3 Br 0.0000 0.0000 0.0990 [6 per cell]



<ii>
Material: ReCBr2
Method: DFT, PBE-GGA
State: optimized geometry

abc: 6.302 6.302 6.302
angles: 90.00 90.00 90.00
Space group Fm-3m (No. 225)
Symmetry-distinct sites (fractional):
1 Re 0.000 0.000 0.000 [4 per cell]
2 C 0.000 0.000 0.500 [4 per cell]
3 Br 0.250 0.250 0.250 [8 per cell]



<iii>
Material: ReCBr2
Method: DFT, PBE-GGA
State: optimized geometry

abc: 6.176 6.176 8.485
angles: 90.00 90.00 90.00
Space group I-42d (No. 122)
Symmetry-distinct sites (fractional):
1 Re 0.000 0.000 0.000 [4 per cell]
2 C 0.000 0.000 0.500 [4 per cell]
3 Br 0.249 0.250 0.625 [8 per cell]



Stability, highest: <i>



<i>
Material: ReC3Br
Method: DFT, PBE-GGA
State: optimized geometry

abc: 3.824 3.824 3.824
angles: 90.00 90.00 90.00
Space group Pm-3m (No. 221)
Symmetry-distinct sites (fractional):
1 Re 0.000 0.000 0.000 [1 per cell]
2 C 0.000 0.500 0.500 [3 per cell]
3 Br 0.500 0.500 0.500 [1 per cell]



<ii>
Material: ReC3Br
Method: DFT, PBE-GGA
State: optimized geometry

abc: 4.135 4.135 4.135
angles: 90.00 90.00 90.00
Space group Pm-3m (No. 221)
Symmetry-distinct sites (fractional):
1 Re 0.000 0.000 0.000 [1 per cell]
2 C 0.000 0.000 0.500 [3 per cell]
3 Br 0.500 0.500 0.500 [1 per cell]



Stability, highest: <ii>